No. 1
Entry from Alexandria: a geometry-optimized MnGaAgPt2 structure (GGA-PBEsol).

a b c (Å): 4.4637 4.9085 4.9085
angles (deg): 90.00 90.00 90.00
With the nearest neighbours (Å) after each atom.
Fractional positions:
Ga 0.5000 0.0000 0.0000  2 Ag 2.23
Mn 0.5000 0.5000 0.5000  8 Pt 3.32, 4 Ga 3.47
Ag 0.0000 0.0000 0.0000  2 Ga 2.23, 4 Pt 2.45
Pt 0.0000 0.0000 0.5000  2 Ag 2.45
Pt 0.0000 0.5000 0.0000  2 Ag 2.45

***

No. 2
Entry from Alexandria: a geometry-optimized ZrTcW2 structure (GGA-PBEsol).

Summary:
Relative energy among the computed polymorphs: 1.33 eV per formula unit

a b c (Å): 2.6936 5.2819 5.3585
angles (deg): 119.53 90.00 90.00
With the nearest neighbours (Å) after each atom.
Fractional positions:
Tc 0.5000 0.5000 0.0000  2 Zr 2.64, 2 Tc 2.69
W 0.0000 0.5000 0.5000  4 W 2.64-2.69
W 0.0000 0.0000 0.5000  4 W 2.64-2.69
Zr 0.5000 0.0000 0.0000  2 Tc 2.64, 2 Zr 2.69

***

No. 3
Entry from Alexandria: a geometry-optimized MnCrCdMo2 structure (GGA-PBEsol).

a b c (Å): 4.6976 4.9448 4.9448
angles (deg): 90.00 90.00 90.00
With the nearest neighbours (Å) after each atom.
Fractional positions:
Cr 0.5000 0.0000 0.0000  2 Cd 2.35
Mo 0.0000 0.0000 0.5000  2 Cd 2.47
Mo 0.0000 0.5000 0.0000  2 Cd 2.47
Mn 0.5000 0.5000 0.5000  8 Mo 3.41, 4 Cr 3.50
Cd 0.0000 0.0000 0.0000  2 Cr 2.35, 4 Mo 2.47

***

no.,energy of formation from the pure elements (eV/atom)
1,1.215
2,0.335
3,2.552